The following is a DFT calculation (meta-GGA SCAN) of a crystal of TiAsN2O relaxed with PBEsol.

a = 3.9626 Å, b = 3.9626 Å, c = 3.7110 Å
α = 90.00°, β = 90.00°, γ = 90.00°
With the nearest neighbours (Å) after each atom.
Space group P4/mmm (No. 123)
Asymmetric unit:
Ti (0.0000, 0.0000, 0.0000)  2 O 1.86, 4 N 1.98
As (0.5000, 0.5000, 0.5000)  8 N 2.71, 4 O 2.80
N (0.0000, 0.5000, 0.0000)  2 Ti 1.98
O (0.0000, 0.0000, 0.5000)  2 Ti 1.86

- ΔE_f (raw) (eV per atom) = -0.089
- magnetization (μB per formula unit) = 0.79
- crystal system = tetragonal